(1)
ScMnCo3: PBEsol geometry, meta-GGA SCAN.

POSCAR file:
```
ScMnCo3
1.0
4.122 0.000 0.000
0.000 4.122 0.000
0.000 0.000 4.122
Sc Mn Co
1 1 3
direct
0.000 0.000 0.000
0.500 0.500 0.500
0.000 0.500 0.500
0.500 0.000 0.500
0.500 0.500 0.000
```

Space group ... Pm-3m (221)
Formation energy from the elements ... 0.753 eV per atom
Total energy ... -16.128 eV/atom
Fermi-level density of states ... 4.74 states/eV/f.u.

---

(2)
Li2CaOs: PBEsol geometry, meta-GGA SCAN.

POSCAR file:
```
Li2CaOs
1.0
4.160 0.000 0.000
0.000 4.160 0.000
0.000 0.000 3.826
Li Ca Os
2 1 1
direct
0.000 0.500 0.000
0.500 0.000 0.000
0.000 0.000 0.500
0.500 0.500 0.500
```

Space group ... P4/mmm (123)
Formation energy from the elements ... 0.552 eV per atom
Total energy ... -21.029 eV/atom
Fermi-level density of states ... 2.33 states/eV/f.u.

---

(3)
AlPbW2: PBEsol geometry, meta-GGA SCAN.

POSCAR file:
```
AlPbW2
1.0
4.095 0.000 0.000
0.000 4.095 0.000
0.000 0.000 8.161
Al Pb W
2 2 4
direct
0.000 0.000 0.000
0.500 0.500 0.500
0.000 0.500 0.250
0.500 0.000 0.750
0.000 0.000 0.500
0.000 0.500 0.750
0.500 0.000 0.250
0.500 0.500 0.000
```

Space group ... I-4m2 (119)
Formation energy from the elements ... 0.762 eV per atom
Total energy ... -54.965 eV/atom
Fermi-level density of states ... 2.42 states/eV/f.u.